An optimized crystal structure of Ba2ZrPbO6. Source: Alexandria via LeMat-Bulk, functional PBE.

Lattice parameters (Å, degrees): 6.076 6.076 6.076 60.00 60.00 60.00
Element x y z (fractional)
O1 0.255 0.745 0.745
O2 0.745 0.255 0.255
O3 0.255 0.745 0.255
O4 0.745 0.255 0.745
O5 0.745 0.745 0.255
O6 0.255 0.255 0.745
Ba1 0.750 0.750 0.750
Ba2 0.250 0.250 0.250
Pb1 0.000 0.000 0.000
Zr1 0.500 0.500 0.500

Computed properties:
Formation energy from raw total energies, eV per atom: -2.4547
Uncorrected energy, eV per cell: -70.4